Record 1
Here is Nd2MgHg3 after structural relaxation from the Alexandria database. Energies are from PBE-GGA.

abc: 5.214 5.214 13.264
angles: 90.00 90.00 120.00
Fractional coordinates of all 12 atoms:
1 Nd 0.000 0.000 0.000
2 Nd 0.333 0.667 0.184
3 Nd 0.000 0.000 0.500
4 Nd 0.667 0.333 0.816
5 Mg 0.333 0.667 0.661
6 Mg 0.667 0.333 0.339
7 Hg 0.000 0.000 0.743
8 Hg 0.000 0.000 0.257
9 Hg 0.667 0.333 0.579
10 Hg 0.667 0.333 0.091
11 Hg 0.333 0.667 0.909
12 Hg 0.333 0.667 0.421

**Crystal system**: trigonal
**Energy relative to the lowest polymorph listed for this composition**: 0 kJ/mol of formula units
**SG**: P-3m1, No. 164
**Energy of formation**: -462 meV/atom



Record 2
Here is TlGaAs2Br after structural relaxation from the Alexandria database. Energies are from PBE-GGA.

abc: 4.948 4.948 5.872
angles: 90.00 90.00 90.00
Fractional coordinates of all 5 atoms:
1 Tl 0.500 0.500 0.500
2 As 0.500 0.000 0.000
3 As 0.000 0.500 0.000
4 Br 0.000 0.000 0.500
5 Ga 0.000 0.000 0.000

**E_form (uncorrected)**: 0.194 eV/atom
**Crystal system**: tetragonal
**Energy relative to the lowest polymorph listed for this composition**: 0 kJ/mol of formula units
**SG**: P4/mmm, No. 123



Record 3
Here is PIr5 after structural relaxation from the Alexandria database. Energies are from PBE-GGA.

abc: 4.789 4.789 4.356
angles: 90.00 90.00 120.00
Fractional coordinates of all 6 atoms:
1 Ir 0.000 0.661 0.000
2 Ir 0.339 0.339 0.000
3 Ir 0.667 0.333 0.500
4 Ir 0.661 0.000 0.000
5 Ir 0.333 0.667 0.500
6 P 0.000 0.000 0.500

**Crystal system**: hexagonal
**Energy relative to the lowest polymorph listed for this composition**: 81 kJ/mol of formula units
**SG**: P-62m, No. 189
**Energy of formation**: 207 meV/atom



Record 4
Here is KRbGe4 after structural relaxation from the Alexandria database. Energies are from PBE-GGA.

abc: 6.194 6.194 6.194
angles: 60.00 60.00 60.00
Fractional coordinates of all 6 atoms:
1 Rb 0.250 0.250 0.250
2 Ge 0.640 0.640 0.640
3 Ge 0.080 0.640 0.640
4 Ge 0.640 0.080 0.640
5 Ge 0.640 0.640 0.080
6 K 0.000 0.000 0.000

**Crystal system**: cubic
**SG**: F-43m, No. 216
**Energy of formation**: 121 meV/atom



Record 5
Here is Sm2CrFe16 after structural relaxation from the Alexandria database. Energies are from PBE-GGA.

abc: 6.422 6.422 6.422
angles: 82.35 82.35 82.35
Fractional coordinates of all 19 atoms:
1 Cr 0.091 0.091 0.091
2 Fe 0.498 0.001 0.001
3 Fe 0.844 0.339 0.339
4 Fe 0.000 0.700 0.299
5 Fe 0.339 0.339 0.844
6 Fe 0.700 0.299 0.000
7 Fe 0.339 0.844 0.339
8 Fe 0.299 0.000 0.700
9 Fe 0.000 0.299 0.700
10 Fe 0.001 0.498 0.001
11 Fe 0.001 0.001 0.498
12 Fe 0.660 0.156 0.660
13 Fe 0.660 0.660 0.156
14 Fe 0.156 0.660 0.660
15 Fe 0.299 0.700 0.000
16 Fe 0.700 0.000 0.299
17 Fe 0.908 0.908 0.908
18 Sm 0.346 0.346 0.346
19 Sm 0.658 0.658 0.658

**Crystal system**: trigonal
**SG**: R3m, No. 160
**Energy of formation**: 21 meV/atom



Record 6
Here is TaTiTeI2 after structural relaxation from the Alexandria database. Energies are from PBE-GGA.

abc: 5.268 5.268 5.403
angles: 90.00 90.00 90.00
Fractional coordinates of all 5 atoms:
1 Ta 0.500 0.500 0.500
2 I 0.000 0.500 0.000
3 I 0.500 0.000 0.000
4 Ti 0.000 0.000 0.000
5 Te 0.000 0.000 0.500

**E_form (uncorrected)**: 0.868 eV/atom
**Crystal system**: tetragonal
**Energy relative to the lowest polymorph listed for this composition**: 0 kJ/mol of formula units
**SG**: P4/mmm, No. 123



Record 7
Here is PuH9Ru2 after structural relaxation from the Alexandria database. Energies are from PBE-GGA.

abc: 5.185 6.290 6.290
angles: 80.22 65.66 65.66
Fractional coordinates of all 24 atoms:
1 H 0.466 0.811 0.419
2 H 0.115 0.419 0.189
3 H 0.284 0.081 0.689
4 H 0.697 0.189 0.581
5 H 0.053 0.919 0.311
6 H 0.635 0.081 0.311
7 H 0.284 0.689 0.081
8 H 0.028 0.689 0.919
9 H 0.028 0.919 0.689
10 H 0.000 0.000 0.000
11 H 0.635 0.311 0.081
12 H 0.697 0.581 0.189
13 H 0.466 0.419 0.811
14 H 0.115 0.189 0.419
15 H 0.750 0.500 0.500
16 H 0.053 0.311 0.919
17 H 0.722 0.811 0.581
18 H 0.722 0.581 0.811
19 Pu 0.250 0.500 0.500
20 Pu 0.500 0.000 0.000
21 Ru 0.875 0.250 0.750
22 Ru 0.875 0.750 0.250
23 Ru 0.875 0.250 0.250
24 Ru 0.375 0.750 0.750

**Crystal system**: tetragonal
**Final energy**: -122.3 eV per cell
**SG**: I4_1/amd, No. 141



Record 8
Here is Pm2SmDy6Y after structural relaxation from the Alexandria database. Energies are from PBE-GGA.

abc: 9.712 8.806 8.806
angles: 118.27 94.47 94.47
Fractional coordinates of all 20 atoms:
1 Dy 0.943 0.877 0.256
2 Dy 0.120 0.707 0.495
3 Dy 0.815 0.427 0.978
4 Dy 0.057 0.123 0.744
5 Dy 0.685 0.022 0.573
6 Dy 0.315 0.978 0.427
7 Dy 0.557 0.744 0.123
8 Dy 0.380 0.505 0.293
9 Dy 0.620 0.495 0.707
10 Dy 0.443 0.256 0.877
11 Dy 0.185 0.573 0.022
12 Dy 0.880 0.293 0.505
13 Pm 0.958 0.702 0.805
14 Pm 0.458 0.805 0.702
15 Pm 0.042 0.298 0.195
16 Pm 0.542 0.195 0.298
17 Sm 0.250 0.981 0.019
18 Sm 0.750 0.019 0.981
19 Y 0.750 0.593 0.407
20 Y 0.250 0.407 0.593

**Crystal system**: monoclinic
**SG**: C2/c, No. 15
**Energy of formation**: 114 meV/atom



What did the sixth record say?
Here is TaTiTeI2 after structural relaxation from the Alexandria database. Energies are from PBE-GGA.

abc: 5.268 5.268 5.403
angles: 90.00 90.00 90.00
Fractional coordinates of all 5 atoms:
1 Ta 0.500 0.500 0.500
2 I 0.000 0.500 0.000
3 I 0.500 0.000 0.000
4 Ti 0.000 0.000 0.000
5 Te 0.000 0.000 0.500

**E_form (uncorrected)**: 0.868 eV/atom
**Crystal system**: tetragonal
**Energy relative to the lowest polymorph listed for this composition**: 0 kJ/mol of formula units
**SG**: P4/mmm, No. 123